Record 1
PuZnSbN, relaxed, DFT PBE; spin magnetization = 8.6 Bohr magnetons per cell; V = 19.7 Å³ per atom; energy relative to the elements, uncorrected = -67 kJ/mol of atoms
1.0
4.013 0.000 0.000
0.000 4.013 0.000
0.000 0.000 9.796
Pu Zn Sb N
2 2 2 2
direct
0.500 0.000 0.607 Pu
0.000 0.500 0.393 Pu
0.500 0.500 0.000 Zn
0.000 0.000 0.000 Zn
0.000 0.500 0.808 Sb
0.500 0.000 0.192 Sb
0.000 0.000 0.500 N
0.500 0.500 0.500 N

---

Record 2
BeInP2, relaxed, DFT PBE; spin magnetization = 0.0 Bohr magnetons per cell; V = 16.6 Å³ per atom; energy of formation from the pure elements = 0.6977 eV/atom
1.0
-4.061 1.620 1.238
-3.091 1.043 -3.164
-3.715 -2.572 -0.482
P Be In
2 1 1
direct
0.250 0.250 0.250 P
0.750 0.750 0.750 P
0.000 0.000 0.000 Be
0.500 0.500 0.500 In

---

Record 3
Er6CoPd2, relaxed, DFT PBE; spin magnetization = 0.0 Bohr magnetons per cell; V = 25.2 Å³ per atom; energy of formation from the pure elements = -0.4799 eV/atom
1.0
-2.840 -2.755 -5.100
4.682 -5.532 0.382
-6.095 -4.759 5.801
Er Co Pd
12 2 4
direct
0.859 0.967 0.249 Er
0.829 0.683 0.562 Er
0.837 0.679 0.935 Er
0.663 0.179 0.565 Er
0.671 0.183 0.938 Er
0.641 0.467 0.251 Er
0.141 0.033 0.751 Er
0.171 0.317 0.438 Er
0.163 0.321 0.065 Er
0.337 0.821 0.435 Er
0.329 0.817 0.062 Er
0.359 0.533 0.749 Er
0.500 0.500 0.000 Co
0.000 0.000 0.500 Co
0.944 0.386 0.747 Pd
0.556 0.886 0.753 Pd
0.444 0.114 0.247 Pd
0.056 0.614 0.253 Pd

---

Record 4
ScFe2P, relaxed, DFT PBE; spin magnetization = 3.2 Bohr magnetons per cell; V = 13.4 Å³ per atom; energy of formation from the pure elements = -0.2954 eV/atom
1.0
-1.603 2.061 4.051
1.603 -2.061 4.051
1.603 2.061 -4.051
Sc Fe P
1 2 1
direct
0.746 0.246 0.500 Sc
0.016 0.016 0.000 Fe
0.263 0.763 0.500 Fe
0.475 0.475 0.000 P

---

Record 5
Pm12MgAl3, relaxed, DFT PBE; spin magnetization = 0.0 Bohr magnetons per cell; V = 29.4 Å³ per atom; energy of formation from the pure elements = -0.1279 eV/atom
1.0
4.902 0.000 0.000
0.000 4.902 0.000
0.000 0.000 19.585
Pm Mg Al
12 1 3
direct
0.500 0.500 0.000 Pm
0.500 0.500 0.252 Pm
0.500 0.500 0.500 Pm
0.500 0.500 0.748 Pm
0.500 0.000 0.131 Pm
0.500 0.000 0.376 Pm
0.500 0.000 0.624 Pm
0.500 0.000 0.869 Pm
0.000 0.500 0.131 Pm
0.000 0.500 0.376 Pm
0.000 0.500 0.624 Pm
0.000 0.500 0.869 Pm
0.000 0.000 0.000 Mg
0.000 0.000 0.252 Al
0.000 0.000 0.500 Al
0.000 0.000 0.748 Al

---

Record 6
La2Pr12Dy5, relaxed, DFT PBE; spin magnetization = 0.0 Bohr magnetons per cell; E above lowest polymorph = 0.000 eV per atom; V = 35.6 Å³ per atom; energy of formation from the pure elements = 0.1192 eV/atom
1.0
-6.371 -4.032 -6.838
-1.980 -0.024 9.435
-3.793 7.149 -0.681
La Pr Dy
2 12 5
direct
0.783 0.000 0.000 La
0.217 0.000 0.000 La
0.837 0.674 0.124 Pr
0.038 0.619 0.791 Pr
0.581 0.619 0.791 Pr
0.167 0.789 0.388 Pr
0.621 0.789 0.388 Pr
0.449 0.897 0.714 Pr
0.551 0.103 0.286 Pr
0.833 0.211 0.612 Pr
0.379 0.211 0.612 Pr
0.962 0.381 0.209 Pr
0.419 0.381 0.209 Pr
0.163 0.326 0.876 Pr
0.248 0.497 0.510 Dy
0.352 0.704 0.083 Dy
0.000 0.000 0.500 Dy
0.648 0.296 0.917 Dy
0.752 0.503 0.490 Dy

---

Record 7
Pu5RhAu2, relaxed, DFT PBE; spin magnetization = 12.3 Bohr magnetons per cell; V = 23.3 Å³ per atom; energy of formation from the pure elements = -0.2613 eV/atom
1.0
-0.589 4.945 -1.579
1.756 -1.617 -5.718
-10.990 -2.189 -2.756
Pu Rh Au
10 2 4
direct
0.500 0.365 0.101 Pu
0.500 0.635 0.899 Pu
0.500 0.865 0.399 Pu
0.500 0.135 0.601 Pu
0.000 0.846 0.730 Pu
0.000 0.154 0.270 Pu
0.000 0.346 0.770 Pu
0.000 0.654 0.230 Pu
0.000 0.500 0.500 Pu
0.000 0.000 0.000 Pu
0.000 0.000 0.500 Rh
0.000 0.500 0.000 Rh
0.500 0.383 0.361 Au
0.500 0.617 0.639 Au
0.500 0.117 0.861 Au
0.500 0.883 0.139 Au

---

Record 8
Te2OsAu, relaxed, DFT PBE; spin magnetization = 0.0 Bohr magnetons per cell; E above lowest polymorph = 0.191 eV per atom; V = 27.4 Å³ per atom; energy relative to the elements, uncorrected = 36 kJ/mol of atoms
1.0
-3.066 4.125 0.712
-3.553 1.689 3.384
2.289 4.630 4.638
Au Os Te
1 1 2
direct
0.542 0.542 0.422 Au
0.269 0.269 0.365 Os
0.915 0.915 0.078 Te
0.774 0.774 0.635 Te

---

Record 9
UAl2Ga2Cu2, relaxed, DFT PBE; spin magnetization = 2.7 Bohr magnetons per cell; V = 17.1 Å³ per atom; energy of formation from the pure elements = -0.0687 eV/atom
1.0
4.209 0.000 0.000
2.104 3.645 0.000
2.104 1.215 7.785
U Al Ga Cu
1 2 2 2
direct
0.000 0.000 0.000 U
0.136 0.136 0.593 Al
0.864 0.864 0.407 Al
0.741 0.741 0.777 Ga
0.259 0.259 0.223 Ga
0.563 0.563 0.311 Cu
0.437 0.437 0.689 Cu

---

Record 10
Y3Ti5H12, relaxed, DFT PBE; spin magnetization = 0.0 Bohr magnetons per cell; V = 10.3 Å³ per atom; total DFT energy (no corrections) = -5.355 eV per atom
1.0
10.225 0.000 0.000
-3.408 9.640 0.000
-3.408 -4.820 8.349
Y Ti H
12 20 48
direct
0.750 0.375 0.125 Y
0.875 0.750 0.125 Y
0.375 0.750 0.625 Y
0.250 0.125 0.375 Y
0.875 0.125 0.250 Y
0.375 0.625 0.250 Y
0.625 0.375 0.750 Y
0.125 0.875 0.750 Y
0.750 0.875 0.625 Y
0.625 0.250 0.375 Y
0.125 0.250 0.875 Y
0.250 0.625 0.875 Y
0.125 0.375 0.250 Ti
0.000 0.500 0.000 Ti
0.000 0.000 0.000 Ti
0.375 0.250 0.125 Ti
0.500 0.000 0.500 Ti
0.500 0.500 0.000 Ti
0.125 0.750 0.375 Ti
0.750 0.125 0.875 Ti
0.750 0.625 0.375 Ti
0.375 0.125 0.750 Ti
0.625 0.875 0.250 Ti
0.500 0.500 0.500 Ti
0.500 0.000 0.000 Ti
0.000 0.000 0.500 Ti
0.250 0.375 0.625 Ti
0.250 0.875 0.125 Ti
0.000 0.500 0.500 Ti
0.875 0.250 0.625 Ti
0.625 0.750 0.875 Ti
0.875 0.625 0.750 Ti
0.709 0.130 0.043 H
0.334 0.543 0.413 H
0.957 0.370 0.291 H
0.543 0.209 0.130 H
0.579 0.709 0.666 H
0.957 0.587 0.166 H
0.334 0.791 0.421 H
0.087 0.921 0.130 H
0.587 0.957 0.666 H
0.709 0.579 0.166 H
0.791 0.457 0.370 H
0.834 0.913 0.043 H
0.130 0.709 0.543 H
0.370 0.413 0.079 H
0.079 0.913 0.370 H
0.421 0.130 0.587 H
0.079 0.166 0.209 H
0.457 0.666 0.087 H
0.834 0.921 0.291 H
0.130 0.421 0.087 H
0.370 0.957 0.791 H
0.587 0.630 0.421 H
0.913 0.834 0.543 H
0.791 0.334 0.921 H
0.413 0.370 0.579 H
0.087 0.166 0.457 H
0.209 0.666 0.079 H
0.166 0.079 0.709 H
0.630 0.043 0.209 H
0.870 0.579 0.913 H
0.543 0.334 0.913 H
0.579 0.870 0.413 H
0.921 0.834 0.791 H
0.921 0.087 0.630 H
0.870 0.291 0.457 H
0.166 0.087 0.957 H
0.630 0.587 0.921 H
0.413 0.043 0.334 H
0.291 0.421 0.834 H
0.209 0.543 0.630 H
0.913 0.079 0.870 H
0.666 0.209 0.579 H
0.457 0.791 0.870 H
0.043 0.413 0.834 H
0.421 0.291 0.334 H
0.043 0.630 0.709 H
0.666 0.457 0.587 H
0.291 0.870 0.957 H

---

Record 11
KAcTe2, relaxed, DFT PBE; spin magnetization = 0.0 Bohr magnetons per cell; E above lowest polymorph = 0.159 eV per atom; V = 37.0 Å³ per atom; energy relative to the elements, uncorrected = -129 kJ/mol of atoms
1.0
-2.543 -2.119 -2.487
3.225 -2.130 -1.484
-1.086 -5.948 6.178
Ac Te K
1 2 1
direct
0.500 0.500 0.000 Ac
0.000 0.000 0.778 Te
0.000 0.000 0.222 Te
0.500 0.500 0.500 K

---

Record 12
La2MgNi2, relaxed, DFT PBE; spin magnetization = 0.0 Bohr magnetons per cell; V = 24.0 Å³ per atom; energy of formation from the pure elements = -0.1696 eV/atom
1.0
-4.537 1.029 2.953
2.643 -1.522 4.590
0.250 3.474 4.316
Ni Mg La
2 1 2
direct
0.349 0.349 0.302 Ni
0.651 0.651 0.698 Ni
0.000 0.000 0.000 Mg
0.750 0.250 0.500 La
0.250 0.750 0.500 La

---

Record 13
LaEuTmPb, relaxed, DFT PBE; spin magnetization = 8.1 Bohr magnetons per cell; V = 31.4 Å³ per atom; energy of formation from the pure elements = -0.1441 eV/atom
1.0
5.623 0.000 0.000
2.812 4.870 0.000
2.812 1.623 4.592
Pb Eu Tm La
1 1 1 1
direct
0.250 0.250 0.250 Pb
0.750 0.750 0.750 Eu
0.500 0.500 0.500 Tm
0.000 0.000 0.000 La

---

Record 14
Rb2HoGeS4, relaxed, DFT PBE; spin magnetization = 0.0 Bohr magnetons per cell; V = 36.0 Å³ per atom; energy relative to the elements, uncorrected = -102 kJ/mol of atoms
1.0
-0.392 1.338 -6.368
-7.336 -0.134 -2.914
-1.442 12.620 -0.596
Rb Ho Ge S
4 2 2 8
direct
0.183 0.000 0.635 Rb
0.817 0.000 0.365 Rb
0.567 0.500 0.865 Rb
0.933 0.500 0.135 Rb
0.750 0.500 0.500 Ho
0.000 0.000 0.000 Ho
0.250 0.500 0.500 Ge
0.500 0.000 0.000 Ge
0.315 0.806 0.101 S
0.223 0.194 0.899 S
0.878 0.806 0.899 S
0.583 0.194 0.101 S
0.435 0.694 0.399 S
0.527 0.306 0.601 S
0.872 0.694 0.601 S
0.167 0.306 0.399 S

---

Record 15
CuGePW2, relaxed, DFT PBE; spin magnetization = 0.0 Bohr magnetons per cell; V = 19.9 Å³ per atom; energy of formation from the pure elements = 1.9632 eV/atom
1.0
-2.760 -2.678 -2.646
2.789 0.630 -3.547
2.450 -3.769 1.258
P Ge Cu W
1 1 1 2
direct
0.000 0.500 0.000 P
0.000 0.000 0.000 Ge
0.500 0.500 0.500 Cu
0.000 0.000 0.500 W
0.500 0.000 0.000 W

---

Record 16
PmGa2O4, relaxed, DFT PBE; spin magnetization = 0.0 Bohr magnetons per cell; E above lowest polymorph = 0.183 eV per atom; V = 16.1 Å³ per atom; energy relative to the elements, uncorrected = -195 kJ/mol of atoms
1.0
4.524 0.000 0.000
0.000 4.524 0.000
0.000 0.000 5.513
Pm Ga O
1 2 4
direct
0.000 0.000 0.000 Pm
0.500 0.000 0.500 Ga
0.000 0.500 0.500 Ga
0.754 0.246 0.699 O
0.246 0.246 0.301 O
0.246 0.754 0.699 O
0.754 0.754 0.301 O

---

Record 17
LaHo2Er, relaxed, DFT PBE; spin magnetization = 0.0 Bohr magnetons per cell; E above lowest polymorph = 0.026 eV per atom; V = 32.4 Å³ per atom; energy of formation from the pure elements = 0.0350 eV/atom
1.0
-0.398 -3.023 -1.879
0.414 -1.917 2.996
-9.985 0.327 1.589
La Ho Er
1 2 1
direct
0.500 0.500 0.500 La
0.000 0.000 0.758 Ho
0.000 0.000 0.242 Ho
0.500 0.500 0.000 Er

---

Record 18
Ba2GaSn2, relaxed, DFT PBE; spin magnetization = 0.0 Bohr magnetons per cell; E above lowest polymorph = 0.135 eV per atom; V = 34.9 Å³ per atom; energy of formation from the pure elements = -0.4460 eV/atom
1.0
-3.683 1.306 -6.967
-7.078 -0.244 3.696
0.268 5.392 0.869
Ba Ga Sn
4 2 4
direct
0.171 0.671 0.500 Ba
0.671 0.829 0.500 Ba
0.829 0.329 0.500 Ba
0.329 0.171 0.500 Ba
0.000 0.000 0.000 Ga
0.500 0.500 0.000 Ga
0.366 0.866 0.000 Sn
0.866 0.634 0.000 Sn
0.634 0.134 0.000 Sn
0.134 0.366 0.000 Sn

---

Record 19
CeTl2PbSe4, relaxed, DFT PBE; spin magnetization = 0.1 Bohr magnetons per cell; V = 31.3 Å³ per atom; energy relative to the elements, uncorrected = -90 kJ/mol of atoms
1.0
-2.288 1.744 -3.261
-3.294 -7.129 -1.502
-6.316 -0.575 4.124
Ce Tl Pb Se
1 2 1 4
direct
0.000 0.500 0.500 Ce
0.000 0.000 0.000 Tl
0.500 0.000 0.500 Tl
0.500 0.500 0.000 Pb
0.000 0.714 0.739 Se
0.000 0.286 0.261 Se
0.500 0.709 0.281 Se
0.500 0.291 0.719 Se

---

Record 20
LaPm7Ga4, relaxed, DFT PBE; spin magnetization = 0.4 Bohr magnetons per cell; V = 28.5 Å³ per atom; energy of formation from the pure elements = -0.2086 eV/atom
1.0
5.643 0.000 0.000
2.822 8.792 0.312
2.822 0.588 6.912
La Pm Ga
1 7 4
direct
0.000 0.000 0.000 La
0.794 0.879 0.532 Pm
0.206 0.121 0.468 Pm
0.065 0.611 0.258 Pm
0.935 0.389 0.742 Pm
0.297 0.642 0.764 Pm
0.500 0.000 0.000 Pm
0.703 0.358 0.236 Pm
0.552 0.243 0.652 Ga
0.448 0.757 0.348 Ga
0.680 0.670 0.970 Ga
0.320 0.330 0.030 Ga